Material: Hf4VSn3
Method: DFT, PBE
State: relaxed

Computed properties:
ρ	11.2	Mg/m³
calculated volume	20.82	Å³ per atom
formation energy	-0.287	eV/atom
M_tot	0.003	μB/atom

Cell lengths 5.4958, 8.2570, 8.2570 Å; angles 83.64, 70.56, 70.56 degrees
Closest atoms and distances in Å follow each position.
Atoms (fractional coordinates):
Sn  0.8440  0.5000  0.8119  2 V 2.79, 4 Hf 2.91-3.00
Sn  0.1560  0.5000  0.1881  2 V 2.79, 4 Hf 2.91-3.00
Sn  0.7500  0.0000  0.0000  2 Sn 2.75, 8 Hf 2.97
Sn  0.3440  0.8119  0.5000  2 V 2.79, 4 Hf 2.91-3.00
Sn  0.2500  0.0000  0.0000  2 Sn 2.75, 8 Hf 2.97
Sn  0.6560  0.1881  0.5000  2 V 2.79, 4 Hf 2.91-3.00
Hf  0.9198  0.8554  0.3050  6 Sn 2.91-3.16, 1 Hf 3.04
Hf  0.5802  0.6950  0.1446  6 Sn 2.91-3.16, 1 Hf 3.04
Hf  0.4198  0.3050  0.8554  6 Sn 2.91-3.16, 1 Hf 3.04
Hf  0.2248  0.6950  0.8554  6 Sn 2.91-3.16, 1 Hf 3.04
Hf  0.0802  0.1446  0.6950  6 Sn 2.91-3.16, 1 Hf 3.04
Hf  0.7248  0.8554  0.6950  6 Sn 2.91-3.16, 1 Hf 3.04
Hf  0.7752  0.3050  0.1446  6 Sn 2.91-3.16, 1 Hf 3.04
Hf  0.2752  0.1446  0.3050  6 Sn 2.91-3.16, 1 Hf 3.04
V  0.7500  0.5000  0.5000  2 V 2.75, 4 Sn 2.79
V  0.2500  0.5000  0.5000  2 V 2.75, 4 Sn 2.79